VASP calculation (PBE with a Hubbard U) on an optimized crystal structure of SrCa3Mn4O12.

Lattice parameters (Å, degrees): 7.6297 5.3844 5.4252 89.97 90.00 90.00
Last column: magnetic moment on the atom in μB.
Sites, in units of the cell vectors:
O 0.5000 0.0776 0.5259  -0.11
Mn 0.2530 0.0010 0.4999  3.25
O 0.2236 0.2848 0.2840  -0.11
O 0.2923 0.7876 0.2135  -0.10
Ca 0.5000 0.5082 0.4543  0.01
O 0.7871 0.2054 0.7936  -0.11
Mn 0.7477 0.4991 0.9972  3.25
O 0.0000 0.5747 0.9996  -0.10
O 0.5000 0.4237 0.0129  -0.12
O 0.7077 0.7876 0.2135  -0.10
O 0.2129 0.2054 0.7936  -0.11
O 0.0000 0.9460 0.4781  -0.08
O 0.7764 0.2848 0.2840  -0.11
O 0.7089 0.7090 0.7111  -0.10
Ca 0.0000 0.0085 0.0415  0.01
Sr 0.0000 0.4951 0.5286  0.00
Ca 0.5000 0.9925 0.9608  0.01
Mn 0.7470 0.0010 0.4999  3.25
O 0.2911 0.7090 0.7111  -0.10
Mn 0.2523 0.4991 0.9972  3.25

E above lowest polymorph: 0.0 kJ/mol of atoms